# 1
VASP calculation (GGA-PBEsol) on a relaxed structure of Ca2ScP3Pt7.

Results
Energy = -6.991 eV/atom
SG = No. 119
Total magnetization = 0.0 μB per cell

The structure in extended XYZ format:
```
13
Lattice="-0.121 -3.993 0.321 3.277 0.086 2.306 -9.344 3.073 9.682" Properties=species:S:1:pos:R:3 pbc="T T T"
Ca -5.169 0.745 7.319
Ca -1.019 -1.580 4.989
Sc 1.578 -1.954 1.313
P -1.916 0.276 2.713
P -4.272 -1.111 9.595
P -3.944 -1.437 5.658
Pt -1.197 -1.833 1.769
Pt 0.482 0.209 2.790
Pt -4.971 0.995 10.511
Pt -6.690 -1.041 9.546
Pt -3.225 0.465 4.566
Pt -2.963 -1.299 7.743
Pt 0.000 0.000 0.000
```

***

# 2
VASP calculation (GGA-PBEsol) on a relaxed structure of AlAg9S6.

Results
ΔE_f (raw) = -20.7 kJ/mol of atoms
SG = No. 1
Total magnetization = 0.0 μB per cell

The structure in extended XYZ format:
```
16
Lattice="7.453 -0.006 0.095 3.650 6.442 0.194 3.610 2.095 6.287" Properties=species:S:1:pos:R:3 pbc="T T T"
Al 7.515 4.339 3.577
Ag 5.618 1.057 3.163
Ag 1.904 2.895 0.362
Ag 11.952 6.837 2.394
Ag 3.588 4.187 3.164
Ag 9.573 5.765 0.888
Ag 4.597 4.392 0.444
Ag 3.094 0.258 0.189
Ag 2.743 1.462 3.927
Ag 6.416 2.184 0.612
S 3.980 2.214 1.700
S 7.558 4.461 1.323
S 7.654 2.174 4.143
S 9.263 5.344 4.555
S 5.628 5.404 4.174
S 4.089 2.445 5.908
```